This record from Alexandria describes a relaxed structure of Mg6In2Ga. The functional is PBE.

```
Mg6In2Ga
1.0
7.8087 0.0000 0.0000
-3.9043 6.7625 0.0000
0.0000 0.0000 3.8674
Mg In Ga
6 2 1
Cartesian
-1.4785 2.5609 0.0000
-2.9193 5.0563 1.9337
0.9851 1.7062 1.9337
2.9571 0.0000 0.0000
2.4258 4.2016 0.0000
5.8385 0.0000 1.9337
0.0000 4.5083 1.9337
3.9043 2.2542 1.9337
0.0000 0.0000 0.0000
```

Calculated values
formation energy = -0.0988 eV/atom


This record from Alexandria describes a relaxed structure of NaMgInGa. The functional is PBE.

```
NaMgInGa
1.0
7.1820 0.0000 0.0000
0.0000 7.1820 0.0000
0.0000 0.0000 7.1820
Na Mg In Ga
4 4 4 4
Cartesian
0.0000 0.0000 0.0000
0.0000 3.5910 3.5910
3.5910 0.0000 3.5910
3.5910 3.5910 0.0000
0.0000 0.0000 3.5910
0.0000 3.5910 0.0000
3.5910 0.0000 0.0000
3.5910 3.5910 3.5910
1.7955 1.7955 5.3865
1.7955 5.3865 1.7955
5.3865 1.7955 1.7955
5.3865 5.3865 5.3865
1.7955 1.7955 1.7955
1.7955 5.3865 5.3865
5.3865 1.7955 5.3865
5.3865 5.3865 1.7955
```

Calculated values
formation energy = -0.0517 eV/atom


This record from Alexandria describes a relaxed structure of NdMg2InGa. The functional is PBE.

```
NdMg2InGa
1.0
1.7941 -8.8372 0.0000
1.7941 8.8372 0.0000
0.0000 0.0000 8.4711
Nd Mg In Ga
2 4 2 2
Cartesian
1.7941 7.0717 6.3533
1.7941 -7.0717 2.1178
1.7941 3.0985 4.7353
1.7941 3.0985 7.9714
1.7941 -3.0985 0.4998
1.7941 -3.0985 3.7358
1.7941 0.0000 0.0000
1.7941 0.0000 4.2356
1.7941 4.3105 2.1178
1.7941 -4.3105 6.3533
```

Calculated values
formation energy = -0.1855 eV/atom


This record from Alexandria describes a relaxed structure of MgInGa2Ni. The functional is PBE.

```
MgInGa2Ni
1.0
4.6046 0.0000 0.0000
0.0000 4.6046 0.0000
0.0000 0.0000 4.9295
Mg In Ga Ni
1 1 2 1
Cartesian
0.0000 0.0000 0.0000
2.3023 2.3023 0.0000
0.0000 2.3023 2.4647
2.3023 0.0000 2.4647
0.0000 0.0000 2.4647
```

Calculated values
formation energy = -0.0903 eV/atom


This record from Alexandria describes a relaxed structure of MgNpInGa. The functional is PBE.

```
MgNpInGa
1.0
7.1566 0.0000 0.0000
0.0000 7.1566 0.0000
0.0000 0.0000 7.1566
Mg Np In Ga
4 4 4 4
Cartesian
0.0000 0.0000 0.0000
0.0000 3.5783 3.5783
3.5783 0.0000 3.5783
3.5783 3.5783 0.0000
0.0000 0.0000 3.5783
0.0000 3.5783 0.0000
3.5783 0.0000 0.0000
3.5783 3.5783 3.5783
1.7891 1.7891 1.7891
1.7891 5.3674 5.3674
5.3674 1.7891 5.3674
5.3674 5.3674 1.7891
1.7891 1.7891 5.3674
1.7891 5.3674 1.7891
5.3674 1.7891 1.7891
5.3674 5.3674 5.3674
```

Calculated values
formation energy = 0.0349 eV/atom


This record from Alexandria describes a relaxed structure of MgIn2GaO. The functional is PBE.

```
MgIn2GaO
1.0
5.8450 0.0000 0.0000
0.0000 5.8450 0.0000
0.0000 0.0000 3.6215
Mg In Ga O
1 2 1 1
Cartesian
0.0000 0.0000 0.0000
0.0000 2.9225 0.0000
2.9225 0.0000 0.0000
2.9225 2.9225 1.8108
0.0000 0.0000 1.8108
```

Calculated values
ΔE_f (raw) = -0.255 eV per atom


This record from Alexandria describes a relaxed structure of MgInGaPb. The functional is PBE.

```
MgInGaPb
1.0
7.3955 0.0000 0.0000
0.0000 7.3955 0.0000
0.0000 0.0000 7.3955
Mg In Ga Pb
4 4 4 4
Cartesian
0.0000 0.0000 0.0000
0.0000 3.6977 3.6977
3.6977 0.0000 3.6977
3.6977 3.6977 0.0000
1.8489 1.8489 1.8489
1.8489 5.5466 5.5466
5.5466 1.8489 5.5466
5.5466 5.5466 1.8489
0.0000 0.0000 3.6977
0.0000 3.6977 0.0000
3.6977 0.0000 0.0000
3.6977 3.6977 3.6977
1.8489 1.8489 5.5466
1.8489 5.5466 1.8489
5.5466 1.8489 1.8489
5.5466 5.5466 5.5466
```

Calculated values
formation energy = 0.0105 eV/atom


This record from Alexandria describes a relaxed structure of MgInGaPb. The functional is PBE.

```
MgInGaPb
1.0
3.3877 0.0000 0.0000
0.0000 3.3877 0.0000
0.0000 0.0000 8.6955
Mg In Ga Pb
1 1 1 1
Cartesian
0.0000 0.0000 0.0000
0.0000 0.0000 4.8860
1.6938 1.6938 6.9672
1.6938 1.6938 2.2712
```

Calculated values
formation energy = -0.0150 eV/atom


Let's list total magnetic moment in order: 0.000 0.000 0.000 0.000 17.462 0.000 0.000 0.000 Bohr magnetons per cell.
Let's list density of states at the Fermi level in order: 0.46 0.80 0.43 0.42 1.91 0.58 0.17 0.61 states/eV/atom.